1:
Entry from Alexandria: a relaxed HgGe2As2 crystal (GGA-PBE).

Cell lengths 8.045, 8.045, 3.499 Å; angles 90.00, 90.00, 90.00 degrees
Atoms (fractional coordinates):
As1 0.126 0.626 0.500
As2 0.874 0.374 0.500
As3 0.374 0.126 0.500
As4 0.626 0.874 0.500
Ge1 0.639 0.139 0.000
Ge2 0.139 0.361 0.000
Ge3 0.361 0.861 0.000
Ge4 0.861 0.639 0.000
Hg1 0.500 0.500 0.000
Hg2 0.000 0.000 0.000

## Properties
M_tot	0.00	μB/f.u.
volume	226.44	Å³ per cell

2:
Entry from Alexandria: a relaxed HgGe2As2 crystal (GGA-PBE).

Cell lengths 4.474, 4.474, 7.388 Å; angles 72.37, 72.37, 90.00 degrees
Atoms (fractional coordinates):
As1 0.646 0.646 0.708
As2 0.354 0.354 0.292
Hg1 0.000 0.000 0.000
Ge1 0.750 0.250 0.500
Ge2 0.250 0.750 0.500

## Properties
M_tot	0.00	μB/f.u.
volume	133.64	Å³ per cell

3:
Entry from Alexandria: a relaxed HgGe2As2 crystal (GGA-PBE).

Cell lengths 7.151, 7.151, 6.801 Å; angles 117.29, 117.29, 93.95 degrees
Atoms (fractional coordinates):
Ge1 0.789 0.532 0.570
Ge2 0.532 0.789 0.070
Ge3 0.468 0.211 0.930
Ge4 0.211 0.468 0.430
Hg1 0.875 0.125 0.750
Hg2 0.125 0.875 0.250
As1 0.568 0.432 0.750
As2 0.177 0.823 0.750
As3 0.432 0.568 0.250
As4 0.823 0.177 0.250

## Properties
M_tot	0.00	μB/f.u.
volume	256.97	Å³ per cell

4:
Entry from Alexandria: a relaxed HgGe2As2 crystal (GGA-PBE).

Cell lengths 4.311, 4.311, 7.508 Å; angles 73.32, 73.32, 90.00 degrees
Atoms (fractional coordinates):
Ge1 0.630 0.630 0.739
Ge2 0.370 0.370 0.261
Hg1 0.000 0.000 0.000
As1 0.250 0.750 0.500
As2 0.750 0.250 0.500

## Properties
M_tot	0.00	μB/f.u.
volume	127.53	Å³ per cell

Stability, lowest: 1

1:
Entry from Alexandria: a relaxed Hg2GeAs2 crystal (GGA-PBE).

Cell lengths 4.024, 4.024, 8.654 Å; angles 76.56, 76.56, 90.00 degrees
Atoms (fractional coordinates):
As1 0.429 0.429 0.143
As2 0.571 0.571 0.857
Hg1 0.750 0.250 0.500
Hg2 0.250 0.750 0.500
Ge1 0.000 0.000 0.000

## Properties
M_tot	0.00	μB/f.u.
volume	132.33	Å³ per cell

2:
Entry from Alexandria: a relaxed Hg2GeAs2 crystal (GGA-PBE).

Cell lengths 7.538, 7.538, 4.117 Å; angles 90.00, 90.00, 90.00 degrees
Atoms (fractional coordinates):
Hg1 0.135 0.635 0.500
Hg2 0.865 0.365 0.500
Hg3 0.365 0.135 0.500
Hg4 0.635 0.865 0.500
As1 0.691 0.191 0.000
As2 0.191 0.309 0.000
As3 0.309 0.809 0.000
As4 0.809 0.691 0.000
Ge1 0.500 0.500 0.000
Ge2 0.000 0.000 0.000

## Properties
M_tot	0.00	μB/f.u.
volume	233.93	Å³ per cell

Stability, lowest: 2

1:
Entry from Alexandria: a relaxed HgGeAsSe2 crystal (GGA-PBE).

Cell lengths 5.230, 5.230, 5.164 Å; angles 90.00, 90.00, 90.00 degrees
Atoms (fractional coordinates):
Hg1 0.000 0.000 0.000
Ge1 0.500 0.500 0.500
Se1 0.000 0.500 0.000
Se2 0.500 0.000 0.000
As1 0.000 0.000 0.500

## Properties
M_tot	0.00	μB/f.u.
volume	141.26	Å³ per cell

2:
Entry from Alexandria: a relaxed HgGeAsSe2 crystal (GGA-PBE).

Cell lengths 5.022, 5.022, 5.116 Å; angles 90.00, 90.00, 90.00 degrees
Each line ends with the local moment (μB).
Atoms (fractional coordinates):
Ge1 0.000 0.000 0.000  -0.01
As1 0.000 0.000 0.500  0.25
Hg1 0.500 0.500 0.500  0.00
Se1 0.500 0.000 0.000  0.04
Se2 0.000 0.500 0.000  0.04

## Properties
M_tot	0.64	μB/f.u.
volume	128.99	Å³ per cell

Stability, lowest: 1

1:
Entry from Alexandria: a relaxed HgGeAs2Se crystal (GGA-PBE).

Cell lengths 5.146, 5.146, 5.320 Å; angles 90.00, 90.00, 90.00 degrees
Each line ends with the local moment (μB).
Atoms (fractional coordinates):
As1 0.500 0.000 0.000  0.15
As2 0.000 0.500 0.000  0.15
Se1 0.000 0.000 0.500  0.07
Hg1 0.000 0.000 0.000  0.00
Ge1 0.500 0.500 0.500  -0.03

## Properties
M_tot	0.67	μB/f.u.
volume	140.85	Å³ per cell

2:
Entry from Alexandria: a relaxed HgGeAs2Se crystal (GGA-PBE).

Cell lengths 5.058, 5.058, 4.976 Å; angles 90.00, 90.00, 90.00 degrees
Atoms (fractional coordinates):
Hg1 0.500 0.500 0.500
As1 0.500 0.000 0.000
As2 0.000 0.500 0.000
Ge1 0.000 0.000 0.000
Se1 0.000 0.000 0.500

## Properties
M_tot	0.23	μB/f.u.
volume	127.33	Å³ per cell

Stability, lowest: 1

1:
Entry from Alexandria: a relaxed Ho2GeAs crystal (GGA-PBE).

Cell lengths 3.957, 3.957, 7.722 Å; angles 75.15, 75.15, 60.00 degrees
Atoms (fractional coordinates):
Ho1 0.084 0.084 0.747
Ho2 0.249 0.249 0.254
Ge1 0.668 0.668 0.995
As1 0.499 0.499 0.504

## Properties
M_tot	0.00	μB/f.u.
volume	100.01	Å³ per cell

2:
Entry from Alexandria: a relaxed Ho2GeAs crystal (GGA-PBE).

Cell lengths 4.021, 4.186, 11.409 Å; angles 100.57, 90.00, 90.00 degrees
Atoms (fractional coordinates):
As1 0.250 0.188 0.376
As2 0.750 0.812 0.624
Ge1 0.250 0.457 0.914
Ge2 0.750 0.543 0.086
Ho1 0.750 0.936 0.871
Ho2 0.250 0.064 0.129
Ho3 0.250 0.315 0.630
Ho4 0.750 0.685 0.370

## Properties
M_tot	0.00	μB/f.u.
volume	188.75	Å³ per cell

3:
Entry from Alexandria: a relaxed Ho2GeAs crystal (GGA-PBE).

Cell lengths 4.001, 4.001, 7.454 Å; angles 74.43, 74.43, 60.00 degrees
Atoms (fractional coordinates):
Ge1 0.500 0.500 0.500
As1 0.000 0.000 0.000
Ho1 0.747 0.747 0.760
Ho2 0.253 0.253 0.240

## Properties
M_tot	0.00	μB/f.u.
volume	98.27	Å³ per cell

Stability, lowest: 1

1:
Entry from Alexandria: a relaxed GeAs2I crystal (GGA-PBE).

Cell lengths 5.020, 5.020, 5.020 Å; angles 60.00, 60.00, 60.00 degrees
Atoms (fractional coordinates):
As1 0.750 0.750 0.750
As2 0.250 0.250 0.250
Ge1 0.000 0.000 0.000
I1 0.500 0.500 0.500

## Properties
M_tot	0.00	μB/f.u.
volume	89.46	Å³ per cell

2:
Entry from Alexandria: a relaxed GeAs2I crystal (GGA-PBE).

Cell lengths 7.073, 7.073, 6.919 Å; angles 59.26, 59.26, 90.00 degrees
Atoms (fractional coordinates):
As1 0.875 0.813 0.750
As2 0.563 0.125 0.250
As3 0.187 0.625 0.250
As4 0.375 0.437 0.750
I1 0.750 0.250 0.500
I2 0.000 0.000 0.000
Ge1 0.250 0.750 0.500
Ge2 0.500 0.500 0.000

## Properties
M_tot	0.00	μB/f.u.
volume	239.21	Å³ per cell

Stability, lowest: 1

1:
Entry from Alexandria: a relaxed GeTe2AsI crystal (GGA-PBE).

Cell lengths 5.515, 5.515, 5.462 Å; angles 90.00, 90.00, 90.00 degrees
Atoms (fractional coordinates):
Ge1 0.500 0.500 0.500
I1 0.000 0.000 0.500
Te1 0.500 0.000 0.000
Te2 0.000 0.500 0.000
As1 0.000 0.000 0.000

## Properties
M_tot	0.00	μB/f.u.
volume	166.12	Å³ per cell

2:
Entry from Alexandria: a relaxed GeTe2AsI crystal (GGA-PBE).

Cell lengths 5.483, 5.483, 5.506 Å; angles 90.00, 90.00, 90.00 degrees
Each line ends with the local moment (μB).
Atoms (fractional coordinates):
As1 0.500 0.500 0.500  0.61
Te1 0.000 0.500 0.000  -0.08
Te2 0.500 0.000 0.000  -0.08
Ge1 0.000 0.000 0.000  0.02
I1 0.000 0.000 0.500  0.03

## Properties
M_tot	1.11	μB/f.u.
volume	165.51	Å³ per cell

Stability, lowest: 2

1:
Entry from Alexandria: a relaxed InGeAs3 crystal (GGA-PBE).

Cell lengths 5.194, 5.194, 5.194 Å; angles 90.00, 90.00, 90.00 degrees
Atoms (fractional coordinates):
As1 0.000 0.000 0.500
As2 0.000 0.500 0.000
As3 0.500 0.000 0.000
In1 0.000 0.000 0.000
Ge1 0.500 0.500 0.500

## Properties
M_tot	0.00	μB/f.u.
volume	140.11	Å³ per cell

2:
Entry from Alexandria: a relaxed InGeAs3 crystal (GGA-PBE).

Cell lengths 5.012, 5.012, 5.012 Å; angles 90.00, 90.00, 90.00 degrees
Atoms (fractional coordinates):
In1 0.500 0.500 0.500
Ge1 0.000 0.000 0.000
As1 0.000 0.000 0.500
As2 0.000 0.500 0.000
As3 0.500 0.000 0.000

## Properties
M_tot	0.00	μB/f.u.
volume	125.93	Å³ per cell

Stability, lowest: 1

1:
Entry from Alexandria: a relaxed InGeAs2 crystal (GGA-PBE).

Cell lengths 3.910, 3.910, 6.963 Å; angles 73.69, 73.69, 60.00 degrees
Atoms (fractional coordinates):
As1 0.743 0.743 0.770
As2 0.257 0.257 0.230
In1 0.500 0.500 0.500
Ge1 0.000 0.000 0.000

## Properties
M_tot	0.00	μB/f.u.
volume	87.23	Å³ per cell

2:
Entry from Alexandria: a relaxed InGeAs2 crystal (GGA-PBE).

Cell lengths 6.057, 6.057, 7.558 Å; angles 66.38, 66.38, 90.00 degrees
Atoms (fractional coordinates):
As1 0.875 0.855 0.750
As2 0.605 0.125 0.250
As3 0.145 0.625 0.250
As4 0.375 0.395 0.750
Ge1 0.250 0.750 0.500
Ge2 0.500 0.500 0.000
In1 0.750 0.250 0.500
In2 0.000 0.000 0.000

## Properties
M_tot	0.00	μB/f.u.
volume	228.47	Å³ per cell

3:
Entry from Alexandria: a relaxed InGeAs2 crystal (GGA-PBE).

Cell lengths 4.921, 4.921, 4.921 Å; angles 60.00, 60.00, 60.00 degrees
Atoms (fractional coordinates):
Ge1 0.000 0.000 0.000
In1 0.500 0.500 0.500
As1 0.750 0.750 0.750
As2 0.250 0.250 0.250

## Properties
M_tot	0.00	μB/f.u.
volume	84.28	Å³ per cell

Stability, lowest: 3

1:
Entry from Alexandria: a relaxed In2GeAs crystal (GGA-PBE).

Cell lengths 3.965, 3.965, 8.974 Å; angles 77.24, 77.24, 60.00 degrees
Atoms (fractional coordinates):
In1 0.105 0.105 0.684
In2 0.895 0.895 0.316
Ge1 0.000 0.000 0.000
As1 0.500 0.500 0.500

## Properties
M_tot	0.00	μB/f.u.
volume	118.15	Å³ per cell

2:
Entry from Alexandria: a relaxed In2GeAs crystal (GGA-PBE).

Cell lengths 5.061, 5.061, 5.061 Å; angles 60.00, 60.00, 60.00 degrees
Atoms (fractional coordinates):
In1 0.750 0.750 0.750
In2 0.250 0.250 0.250
Ge1 0.000 0.000 0.000
As1 0.500 0.500 0.500

## Properties
M_tot	0.00	μB/f.u.
volume	91.68	Å³ per cell

3:
Entry from Alexandria: a relaxed In2GeAs crystal (GGA-PBE).

Cell lengths 6.284, 6.284, 7.518 Å; angles 65.30, 65.30, 90.00 degrees
Atoms (fractional coordinates):
In1 0.875 0.875 0.750
In2 0.625 0.125 0.250
In3 0.375 0.375 0.750
In4 0.125 0.625 0.250
Ge1 0.500 0.500 0.000
Ge2 0.250 0.750 0.500
As1 0.750 0.250 0.500
As2 0.000 0.000 0.000

## Properties
M_tot	0.00	μB/f.u.
volume	239.50	Å³ per cell

Stability, lowest: 1

1:
Entry from Alexandria: a relaxed In2GeAs2 crystal (GGA-PBE).

Cell lengths 7.735, 7.735, 3.862 Å; angles 90.00, 90.00, 90.00 degrees
Atoms (fractional coordinates):
In1 0.354 0.146 0.500
In2 0.646 0.854 0.500
In3 0.854 0.354 0.500
In4 0.146 0.646 0.500
As1 0.666 0.166 0.000
As2 0.834 0.666 0.000
As3 0.334 0.834 0.000
As4 0.166 0.334 0.000
Ge1 0.500 0.500 0.000
Ge2 0.000 0.000 0.000

## Properties
M_tot	0.00	μB/f.u.
volume	231.04	Å³ per cell

2:
Entry from Alexandria: a relaxed In2GeAs2 crystal (GGA-PBE).

Cell lengths 3.773, 3.773, 8.818 Å; angles 77.65, 77.65, 90.00 degrees
Atoms (fractional coordinates):
As1 0.250 0.750 0.500
As2 0.750 0.250 0.500
In1 0.400 0.400 0.199
In2 0.600 0.600 0.801
Ge1 0.000 0.000 0.000

## Properties
M_tot	0.00	μB/f.u.
volume	119.64	Å³ per cell

Stability, lowest: 2